[1]
# Li5HgAu4 | the Alexandria database | PBE | relaxed
# Total moment, μB/atom: 0.000
# Total energy, eV/atom: -2.804
# Fermi-level density of states, states/eV/cell: 2.898
data_Li5HgAu4
_chemical_formula_sum 'Li5 Hg1 Au4'
_space_group_name_H-M_alt 'P 4/m m m'
_space_group_IT_number 123
_space_group_name_Hall '-P 4 2'
_cell_length_a 3.2205
_cell_length_b 3.2205
_cell_length_c 15.3651
_cell_angle_alpha 90.00
_cell_angle_beta 90.00
_cell_angle_gamma 90.00
loop_
_atom_site_label
_atom_site_type_symbol
_atom_site_fract_x
_atom_site_fract_y
_atom_site_fract_z
Li1 Li 0.0000 0.0000 0.0000
Li2 Li 0.0000 0.0000 0.1937
Li3 Li 0.0000 0.0000 0.3854
Hg1 Hg 0.5000 0.5000 0.5000
Au1 Au 0.5000 0.5000 0.0964
Au2 Au 0.5000 0.5000 0.2902

[2]
# Li4HgAu5 | the Alexandria database | PBE | relaxed
# Total moment, μB/atom: 0.000
# Total energy, eV/atom: -2.854
# Fermi-level density of states, states/eV/cell: 2.661
data_Li4HgAu5
_chemical_formula_sum 'Li4 Hg1 Au5'
_space_group_name_H-M_alt 'P 4/m m m'
_space_group_IT_number 123
_space_group_name_Hall '-P 4 2'
_cell_length_a 3.2516
_cell_length_b 3.2516
_cell_length_c 15.4797
_cell_angle_alpha 90.00
_cell_angle_beta 90.00
_cell_angle_gamma 90.00
loop_
_atom_site_label
_atom_site_type_symbol
_atom_site_fract_x
_atom_site_fract_y
_atom_site_fract_z
Li1 Li 0.0000 0.0000 0.0938
Li2 Li 0.0000 0.0000 0.2853
Hg1 Hg 0.0000 0.0000 0.5000
Au1 Au 0.5000 0.5000 0.0000
Au2 Au 0.5000 0.5000 0.1874
Au3 Au 0.5000 0.5000 0.3738

[3]
# Li2HgAu8 | the Alexandria database | PBE | relaxed
# Total moment, μB/atom: 0.000
# Total energy, eV/atom: -2.966
# Fermi-level density of states, states/eV/cell: 5.702
data_Li2HgAu8
_chemical_formula_sum 'Li4 Hg2 Au16'
_space_group_name_H-M_alt 'C 1 2/m 1'
_space_group_IT_number 12
_space_group_name_Hall '-C 2y'
_cell_length_a 14.8256
_cell_length_b 4.1023
_cell_length_c 6.6085
_cell_angle_alpha 90.00
_cell_angle_beta 105.17
_cell_angle_gamma 90.00
loop_
_atom_site_label
_atom_site_type_symbol
_atom_site_fract_x
_atom_site_fract_y
_atom_site_fract_z
Li1 Li 0.2246 0.0000 0.1484
Hg1 Hg 0.0000 0.5000 0.5000
Au1 Au 0.0480 0.0000 0.2210
Au2 Au 0.1009 0.5000 0.9627
Au3 Au 0.1469 0.0000 0.7075
Au4 Au 0.1833 0.5000 0.4110

[4]
# Li12HgAu6 | the Alexandria database | PBE | relaxed
# Total moment, μB/atom: 0.000
# Total energy, eV/atom: -2.661
# Fermi-level density of states, states/eV/cell: 16.417
data_Li12HgAu6
_chemical_formula_sum 'Li36 Hg3 Au18'
_space_group_name_H-M_alt 'R -3'
_space_group_IT_number 148
_space_group_name_Hall '-R 3'
_cell_length_a 9.8597
_cell_length_b 9.8597
_cell_length_c 11.7001
_cell_angle_alpha 90.00
_cell_angle_beta 90.00
_cell_angle_gamma 120.00
loop_
_atom_site_label
_atom_site_type_symbol
_atom_site_fract_x
_atom_site_fract_y
_atom_site_fract_z
Li1 Li 0.0260 0.8291 0.3152
Li2 Li 0.0602 0.2199 0.9147
Hg1 Hg 0.0000 0.0000 0.5000
Au1 Au 0.0011 0.5763 0.2010

[5]
# Li4Hg2Au | the Alexandria database | PBE | relaxed
# Total moment, μB/atom: 0.000
# Total energy, eV/atom: -2.000
# Fermi-level density of states, states/eV/cell: 12.024
data_Li4Hg2Au
_chemical_formula_sum 'Li12 Hg6 Au3'
_space_group_name_H-M_alt 'R -3 m'
_space_group_IT_number 166
_space_group_name_Hall '-R 3 2"'
_cell_length_a 4.5845
_cell_length_b 4.5845
_cell_length_c 21.7031
_cell_angle_alpha 90.00
_cell_angle_beta 90.00
_cell_angle_gamma 120.00
loop_
_atom_site_label
_atom_site_type_symbol
_atom_site_fract_x
_atom_site_fract_y
_atom_site_fract_z
Li1 Li 0.0000 0.0000 0.1176
Li2 Li 0.0000 0.0000 0.3723
Hg1 Hg 0.0000 0.0000 0.2459
Au1 Au 0.0000 0.0000 0.5000

[6]
# Li2HgAu3 | the Alexandria database | PBE | relaxed
# Total moment, μB/atom: 0.000
# Total energy, eV/atom: -2.602
# Fermi-level density of states, states/eV/cell: 5.016
data_Li2HgAu3
_chemical_formula_sum 'Li8 Hg4 Au12'
_space_group_name_H-M_alt 'C 1 2/c 1'
_space_group_IT_number 15
_space_group_name_Hall '-C 2yc'
_cell_length_a 10.3849
_cell_length_b 8.1591
_cell_length_c 6.4257
_cell_angle_alpha 90.00
_cell_angle_beta 127.87
_cell_angle_gamma 90.00
loop_
_atom_site_label
_atom_site_type_symbol
_atom_site_fract_x
_atom_site_fract_y
_atom_site_fract_z
Li1 Li 0.2499 0.2501 0.2447
Hg1 Hg 0.0000 0.1574 0.2500
Au1 Au 0.0000 0.1869 0.7500
Au2 Au 0.1707 0.4994 0.4210

[7]
# Li8HgAu6 | the Alexandria database | PBE | relaxed
# Total moment, μB/atom: 0.000
# Total energy, eV/atom: -2.741
# Fermi-level density of states, states/eV/cell: 11.066
data_Li8HgAu6
_chemical_formula_sum 'Li24 Hg3 Au18'
_space_group_name_H-M_alt 'R -3'
_space_group_IT_number 148
_space_group_name_Hall '-R 3'
_cell_length_a 7.8222
_cell_length_b 7.8222
_cell_length_c 16.1307
_cell_angle_alpha 90.00
_cell_angle_beta 90.00
_cell_angle_gamma 120.00
loop_
_atom_site_label
_atom_site_type_symbol
_atom_site_fract_x
_atom_site_fract_y
_atom_site_fract_z
Li1 Li 0.0000 0.0000 0.1645
Li2 Li 0.0081 0.3178 0.6147
Hg1 Hg 0.0000 0.0000 0.5000
Au1 Au 0.0043 0.3566 0.4451

[8]
# Li2Hg4Au | the Alexandria database | PBE | relaxed
# Total moment, μB/atom: 0.000
# Total energy, eV/atom: -1.366
# Fermi-level density of states, states/eV/cell: 48.321
data_Li2Hg4Au
_chemical_formula_sum 'Li32 Hg64 Au16'
_space_group_name_H-M_alt 'F d d d'
_space_group_IT_number 70
_cell_length_a 12.5082
_cell_length_b 12.5541
_cell_length_c 16.0687
_cell_angle_alpha 90.00
_cell_angle_beta 90.00
_cell_angle_gamma 90.00
loop_
_space_group_symop_operation_xyz
'x,y,z'
'-x,-y,-z'
'-x+1/4,-y+1/4,z'
'x+1/4,y+1/4,-z'
'x,-y+1/4,-z+1/4'
'-x,y+1/4,z+1/4'
'-x+1/4,y,-z+1/4'
'x+1/4,-y,z+1/4'
'x,y+1/2,z+1/2'
'-x,-y+1/2,-z+1/2'
'-x+1/4,-y+3/4,z+1/2'
'x+1/4,y+3/4,-z+1/2'
'x,-y+3/4,-z+3/4'
'-x,y+3/4,z+3/4'
'-x+1/4,y+1/2,-z+3/4'
'x+1/4,-y+1/2,z+3/4'
'x+1/2,y,z+1/2'
'-x+1/2,-y,-z+1/2'
'-x+3/4,-y+1/4,z+1/2'
'x+3/4,y+1/4,-z+1/2'
'x+1/2,-y+1/4,-z+3/4'
'-x+1/2,y+1/4,z+3/4'
'-x+3/4,y,-z+3/4'
'x+3/4,-y,z+3/4'
'x+1/2,y+1/2,z'
'-x+1/2,-y+1/2,-z'
'-x+3/4,-y+3/4,z'
'x+3/4,y+3/4,-z'
'x+1/2,-y+3/4,-z+1/4'
'-x+1/2,y+3/4,z+1/4'
'-x+3/4,y+1/2,-z+1/4'
'x+3/4,-y+1/2,z+1/4'
loop_
_atom_site_label
_atom_site_type_symbol
_atom_site_fract_x
_atom_site_fract_y
_atom_site_fract_z
Li1 Li 0.0130 0.0133 0.2495
Hg1 Hg 0.0000 0.0000 0.5000
Hg2 Hg 0.1109 0.3750 0.3750
Hg3 Hg 0.1250 0.1250 0.3763
Hg4 Hg 0.1250 0.3607 0.1250
Au1 Au 0.0000 0.0000 0.0000

[9]
# Li3Hg4Au | the Alexandria database | PBE | relaxed
# Total moment, μB/atom: 0.000
# Total energy, eV/atom: -1.519
# Fermi-level density of states, states/eV/cell: 3.896
data_Li3Hg4Au
_chemical_formula_sum 'Li6 Hg8 Au2'
_space_group_name_H-M_alt 'C 1 2/m 1'
_space_group_IT_number 12
_space_group_name_Hall '-C 2y'
_cell_length_a 23.9317
_cell_length_b 3.9350
_cell_length_c 3.5496
_cell_angle_alpha 90.00
_cell_angle_beta 97.84
_cell_angle_gamma 90.00
loop_
_atom_site_label
_atom_site_type_symbol
_atom_site_fract_x
_atom_site_fract_y
_atom_site_fract_z
Li1 Li 0.0000 0.0000 0.0000
Li2 Li 0.2135 0.0000 0.7135
Hg1 Hg 0.0938 0.0000 0.5857
Hg2 Hg 0.1698 0.5000 0.1702
Au1 Au 0.0000 0.5000 0.5000

[10]
# LiHgAu4 | the Alexandria database | PBE | relaxed
# Total moment, μB/atom: 0.000
# Total energy, eV/atom: -2.723
# Fermi-level density of states, states/eV/cell: 5.149
data_LiHgAu4
_chemical_formula_sum 'Li4 Hg4 Au16'
_space_group_name_H-M_alt 'F -4 3 m'
_space_group_IT_number 216
_space_group_name_Hall 'F -4 2 3'
_cell_length_a 7.8630
_cell_length_b 7.8630
_cell_length_c 7.8630
_cell_angle_alpha 90.00
_cell_angle_beta 90.00
_cell_angle_gamma 90.00
loop_
_atom_site_label
_atom_site_type_symbol
_atom_site_fract_x
_atom_site_fract_y
_atom_site_fract_z
Li1 Li 0.0000 0.0000 0.0000
Hg1 Hg 0.2500 0.2500 0.2500
Au1 Au 0.1251 0.1251 0.6251

[11]
# Li3Hg4Au4 | the Alexandria database | PBE | relaxed
# Total moment, μB/atom: 0.000
# Total energy, eV/atom: -2.085
# Fermi-level density of states, states/eV/cell: 2.461
data_Li3Hg4Au4
_chemical_formula_sum 'Li3 Hg4 Au4'
_space_group_name_H-M_alt 'P -1'
_space_group_IT_number 2
_space_group_name_Hall '-P 1'
_cell_length_a 3.2607
_cell_length_b 5.1470
_cell_length_c 13.2480
_cell_angle_alpha 83.58
_cell_angle_beta 83.50
_cell_angle_gamma 71.94
loop_
_atom_site_label
_atom_site_type_symbol
_atom_site_fract_x
_atom_site_fract_y
_atom_site_fract_z
Li1 Li 0.0000 0.0000 0.0000
Li2 Li 0.0539 0.6562 0.2522
Hg1 Hg 0.3663 0.1095 0.1694
Hg2 Hg 0.4251 0.7704 0.4315
Au1 Au 0.2873 0.7514 0.6561
Au2 Au 0.3348 0.4110 0.9171

[12]
# Li3Hg3Au | the Alexandria database | PBE | relaxed
# Total moment, μB/atom: 0.000
# Total energy, eV/atom: -1.751
# Fermi-level density of states, states/eV/cell: 9.323
data_Li3Hg3Au
_chemical_formula_sum 'Li12 Hg12 Au4'
_space_group_name_H-M_alt 'C m m m'
_space_group_IT_number 65
_space_group_name_Hall '-C 2 2'
_cell_length_a 9.1691
_cell_length_b 9.6169
_cell_length_c 6.1192
_cell_angle_alpha 90.00
_cell_angle_beta 90.00
_cell_angle_gamma 90.00
loop_
_atom_site_label
_atom_site_type_symbol
_atom_site_fract_x
_atom_site_fract_y
_atom_site_fract_z
Li1 Li 0.0000 0.0000 0.2301
Li2 Li 0.2500 0.2500 0.2375
Hg1 Hg 0.0000 0.2526 0.5000
Hg2 Hg 0.1962 0.5000 0.0000
Hg3 Hg 0.2248 0.5000 0.5000
Au1 Au 0.0000 0.2447 0.0000

no.,energy of formation (eV per atom)
1,-0.506
2,-0.420
3,-0.207
4,-0.402
5,-0.352
6,-0.275
7,-0.389
8,-0.178
9,-0.240
10,-0.169
11,-0.261
12,-0.333